Material: BaMnNF2
Method: DFT, GGA+U
State: relaxed

Geometry as POSCAR:
```
BaMnNF2
1.0
-3.035 2.842 1.265
-2.694 -1.518 -3.054
-1.441 -2.702 2.614
N Mn Ba F
1 1 1 2
direct
0.000 0.000 0.500
0.000 0.000 0.000
0.500 0.500 0.500
0.000 0.500 0.000
0.500 0.000 0.000
```

Results
The excess energy over the best structure of this formula in the dataset comes out at 0.000 eV per atom. The space group is P4/mmm, No. 123. As for the volume: 76 Å³ per cell. Its crystal system is tetragonal. The value obtained for the density of states at the Fermi level is 0.376 states/eV/atom. The calculation puts the size of the total moment at 4.00 μB/cell.